1.
Below is CrHgRuC2 after structural relaxation, with properties calculated at the PBE-GGA level.

```
CrHgRuC2
1.0
-1.480 -1.597 -3.192
4.226 0.452 -2.186
1.032 -3.500 1.272
Ru C Hg Cr
1 2 1 1
direct
0.000 0.500 0.000 Ru
0.000 0.000 0.500 C
0.500 0.000 0.000 C
0.500 0.500 0.500 Hg
0.000 0.000 0.000 Cr
```

- N(E_F): 4.001 states/eV/f.u.
- Energy of formation: 1.6412 eV per atom


2.
Below is TcTeRu2 after structural relaxation, with properties calculated at the PBE-GGA level.

```
TcTeRu2
1.0
2.999 0.000 0.000
0.000 2.999 0.000
0.000 0.000 7.166
Ru Tc Te
2 1 1
direct
0.000 0.000 0.993 Ru
0.500 0.500 0.263 Ru
0.000 0.000 0.482 Tc
0.500 0.500 0.761 Te
```

- N(E_F): 4.296 states/eV/f.u.
- Energy relative to the elements, uncorrected: 0.430 eV/atom


Number 1: uncorrected energy -5.889 eV per atom. Number 2: uncorrected energy -7.585 eV per atom.